# 1
A plane-wave DFT calculation with PBE-GGA was carried out for a geometry-optimized KRu3F structure.

Geometry as POSCAR:
```
KRu3F
1.0
4.869 0.000 0.000
0.000 4.869 0.000
0.000 0.000 4.869
K Ru F
1 3 1
Cartesian
0.000 0.000 0.000
0.000 0.000 2.434
0.000 2.434 0.000
2.434 0.000 0.000
2.434 2.434 2.434
```

Its space group is Pm-3m. The density of states at the Fermi level comes out at 5.930 states/eV/cell. The value obtained for the volume is 115 Å³/cell. The value obtained for the total energy is -0.242 Ry per atom. The excess energy over the best structure of this formula in the dataset is 144.1 kJ/mol of atoms.



# 2
A plane-wave DFT calculation with PBE-GGA was carried out for a geometry-optimized K2RuSF structure.

Geometry as POSCAR:
```
K2RuSF
1.0
5.078 0.000 0.000
0.000 5.078 0.000
0.000 0.000 4.466
K Ru S F
2 1 1 1
Cartesian
0.000 2.539 0.000
2.539 0.000 0.000
0.000 0.000 2.233
2.539 2.539 2.233
0.000 0.000 0.000
```

Its space group is P4/mmm. The density of states at the Fermi level comes out at 4.830 states/eV/cell. The value obtained for the volume is 115 Å³/cell. The value obtained for the total energy is -0.285 Ry per atom.



# 3
A plane-wave DFT calculation with PBE-GGA was carried out for a geometry-optimized KSiRuF2 structure.

Geometry as POSCAR:
```
KSiRuF2
1.0
4.576 0.000 0.000
0.000 4.576 0.000
0.000 0.000 4.606
K Si Ru F
1 1 1 2
Cartesian
0.000 0.000 0.000
2.288 2.288 2.303
2.288 2.288 0.000
0.000 2.288 2.303
2.288 0.000 2.303
```

Its space group is P4/mmm. The density of states at the Fermi level comes out at 5.675 states/eV/cell. The value obtained for the volume is 96 Å³/cell. The value obtained for the total energy is -0.332 Ry per atom.



# 4
A plane-wave DFT calculation with PBE-GGA was carried out for a geometry-optimized KSnRu2F structure.

Geometry as POSCAR:
```
KSnRu2F
1.0
4.962 0.000 0.000
0.000 4.962 0.000
0.000 0.000 7.612
K Sn Ru F
1 1 2 1
Cartesian
0.000 0.000 0.000
0.000 0.000 3.806
0.000 2.481 3.806
2.481 0.000 3.806
2.481 2.481 0.000
```

Its space group is P4/mmm. The density of states at the Fermi level comes out at 3.073 states/eV/cell. The value obtained for the volume is 187 Å³/cell. The value obtained for the total energy is -0.314 Ry per atom.



# 5
A plane-wave DFT calculation with PBE-GGA was carried out for a geometry-optimized KSnRuF2 structure.

Geometry as POSCAR:
```
KSnRuF2
1.0
4.751 0.000 0.000
0.000 4.751 0.000
0.000 0.000 5.198
K Sn Ru F
1 1 1 2
Cartesian
0.000 0.000 0.000
2.376 2.376 2.599
2.376 2.376 0.000
0.000 2.376 2.599
2.376 0.000 2.599
```

Its space group is P4/mmm. The density of states at the Fermi level comes out at 4.128 states/eV/cell. The value obtained for the volume is 117 Å³/cell. The value obtained for the total energy is -0.317 Ry per atom. The excess energy over the best structure of this formula in the dataset is 0.0 kJ/mol of atoms.



# 6
A plane-wave DFT calculation with PBE-GGA was carried out for a geometry-optimized KSnRuF2 structure.

Geometry as POSCAR:
```
KSnRuF2
1.0
4.549 0.000 0.000
0.000 4.549 0.000
0.000 0.000 7.625
K Sn Ru F
1 1 1 2
Cartesian
0.000 0.000 0.000
0.000 0.000 3.812
2.274 2.274 0.000
0.000 2.274 3.812
2.274 0.000 3.812
```

Its space group is P4/mmm. The density of states at the Fermi level comes out at 8.890 states/eV/cell. The value obtained for the volume is 158 Å³/cell. The value obtained for the total energy is -0.277 Ry per atom. The excess energy over the best structure of this formula in the dataset is 52.2 kJ/mol of atoms.



# 7
A plane-wave DFT calculation with PBE-GGA was carried out for a geometry-optimized K2SrRuF structure.

Geometry as POSCAR:
```
K2SrRuF
1.0
7.113 0.000 0.000
0.000 7.113 0.000
0.000 0.000 4.917
K Sr Ru F
2 1 1 1
Cartesian
0.000 3.556 0.000
3.556 0.000 0.000
0.000 0.000 0.000
0.000 0.000 2.458
3.556 3.556 2.458
```

Its space group is P4/mmm. The density of states at the Fermi level comes out at 3.653 states/eV/cell. The value obtained for the volume is 249 Å³/cell. The value obtained for the total energy is -0.189 Ry per atom. The excess energy over the best structure of this formula in the dataset is 81.1 kJ/mol of atoms.



# 8
A plane-wave DFT calculation with PBE-GGA was carried out for a geometry-optimized K2SrRuF structure.

Geometry as POSCAR:
```
K2SrRuF
1.0
5.029 0.000 0.000
0.000 5.029 0.000
0.000 0.000 5.464
K Sr Ru F
2 1 1 1
Cartesian
0.000 2.514 0.000
2.514 0.000 0.000
0.000 0.000 2.732
2.514 2.514 2.732
0.000 0.000 0.000
```

Its space group is P4/mmm. The density of states at the Fermi level comes out at 3.877 states/eV/cell. The value obtained for the volume is 138 Å³/cell. The value obtained for the total energy is -0.251 Ry per atom. The excess energy over the best structure of this formula in the dataset is 0.0 kJ/mol of atoms.